Record 1
Material: BeNbCd3
Method: DFT, PBE
State: relaxed

abc: 4.562 4.562 4.562
angles: 90.00 90.00 90.00
Fractional coordinates of all 5 atoms:
Be1 0.000 0.000 0.000
Nb1 0.500 0.500 0.500
Cd1 0.000 0.500 0.000
Cd2 0.000 0.000 0.500
Cd3 0.500 0.000 0.000

Calculated values
space-group type	Pm-3m (221)
energy relative to the lowest polymorph listed for this composition	0.0000	eV/atom
E_tot	-0.1914	Ry/atom
ΔE_f	0.70	eV/atom



Record 2
Material: BeNb3Cd
Method: DFT, PBE
State: relaxed

abc: 4.475 4.475 4.475
angles: 90.00 90.00 90.00
Fractional coordinates of all 5 atoms:
Be1 0.000 0.000 0.000
Nb1 0.000 0.500 0.000
Nb2 0.000 0.000 0.500
Nb3 0.500 0.000 0.000
Cd1 0.500 0.500 0.500

Calculated values
space-group type	Pm-3m (221)
energy relative to the lowest polymorph listed for this composition	0.0000	eV/atom
E_tot	-0.4781	Ry/atom
ΔE_f	0.47	eV/atom



Record 3
Material: BeNbCd3
Method: DFT, PBE
State: relaxed

abc: 5.604 5.604 5.604
angles: 90.00 90.00 90.00
Site moments in Bohr magnetons follow the coordinates.
Fractional coordinates of all 5 atoms:
Be1 0.500 0.500 0.500  0.07
Nb1 0.000 0.000 0.000  2.62
Cd1 0.000 0.500 0.000  0.09
Cd2 0.000 0.000 0.500  0.04
Cd3 0.500 0.000 0.000  0.12

Calculated values
space-group type	Pm-3m (221)
energy relative to the lowest polymorph listed for this composition	0.8038	eV/atom
E_tot	-0.1323	Ry/atom
ΔE_f	1.51	eV/atom